CoPbSO after structural relaxation. Source: the Open Quantum Materials Database, functional GGA+U.

Cell and atoms, written as POSCAR:
```
CoPbSO
1.0
5.9537 0.0000 0.0000
0.0000 7.0245 0.0000
0.0000 0.0000 7.7351
Co Pb S O
4 4 4 4
direct
0.2341 0.0069 0.2033 Co
0.2659 0.9931 0.7033 Co
0.7341 0.4931 0.7967 Co
0.7659 0.5069 0.2967 Co
0.2223 0.4363 0.5368 Pb
0.2777 0.5637 0.0368 Pb
0.7223 0.0637 0.4632 Pb
0.7777 0.9363 0.9632 Pb
0.0001 0.2581 0.1934 S
0.9999 0.7581 0.3066 S
0.5001 0.2419 0.8066 S
0.4999 0.7419 0.6934 S
0.0261 0.1315 0.6366 O
0.4739 0.8685 0.1366 O
0.5261 0.3685 0.3634 O
0.9739 0.6315 0.8634 O
```

**Magnetic moment**: 3.00 μB/f.u.
**Space group**: P2_12_12_1
**Calculated total energy**: -4.933 eV per atom
**Polymorph energy (0 for the lowest one)**: 273 meV per atom